CsHg3: PBEsol geometry, meta-GGA SCAN.

```
8
Lattice="7.785 0.000 0.000 -3.892 6.742 0.000 0.000 0.000 5.205" Properties=species:S:1:pos:R:3 pbc="T T T"
Cs 0.000 4.495 1.301
Cs 3.892 2.247 3.903
Hg 0.000 1.828 3.903
Hg -2.310 5.828 3.903
Hg 1.583 0.914 1.301
Hg 2.310 5.828 3.903
Hg 6.202 0.914 1.301
Hg 3.892 4.914 1.301
```

Summary:
Electronic total energy   -487.0 eV for the cell shown
Fermi-level density of states   1.90 states/eV/f.u.

CsHg: PBEsol geometry, meta-GGA SCAN.

```
4
Lattice="2.660 -6.711 0.000 2.660 6.711 0.000 0.000 0.000 5.159" Properties=species:S:1:pos:R:3 pbc="T T T"
Cs 2.660 4.738 3.869
Cs 2.660 -4.738 1.290
Hg 2.660 0.758 3.869
Hg 2.660 -0.758 1.290
```

Summary:
Electronic total energy   -213.2 eV for the cell shown
Fermi-level density of states   1.35 states/eV/f.u.

CsHg2I2: PBEsol geometry, meta-GGA SCAN.

```
5
Lattice="-3.031 3.031 5.195 3.031 -3.031 5.195 3.031 3.031 -5.195" Properties=species:S:1:pos:R:3 pbc="T T T"
Cs 0.000 0.000 0.000
Hg 0.000 0.000 3.806
Hg 0.000 0.000 6.583
I 3.031 0.000 2.597
I 0.000 3.031 2.597
```

Summary:
Energy relative to the elements, uncorrected   -0.666 eV per atom
Fermi-level density of states   1.44 states/eV/f.u.

Cs2InHgI6: PBEsol geometry, meta-GGA SCAN.

```
10
Lattice="0.000 5.950 5.950 5.950 0.000 5.950 5.950 5.950 0.000" Properties=species:S:1:pos:R:3 pbc="T T T"
Cs 2.975 2.975 2.975
Cs 8.925 8.925 8.925
In 0.000 0.000 0.000
Hg 5.950 5.950 5.950
I 5.950 5.950 2.942
I 5.950 2.942 5.950
I 8.958 5.950 5.950
I 2.942 5.950 5.950
I 5.950 8.958 5.950
I 5.950 5.950 8.958
```

Summary:
Energy relative to the elements, uncorrected   -0.948 eV per atom
Fermi-level density of states   1.22 states/eV/f.u.